18
Lattice="3.688 0.000 0.000 -1.844 7.861 0.000 0.000 0.000 11.503" Properties=species:S:1:pos:R:3 comment="ScPa2NiS5, optimized geometry, DFT GGA-PBE" space_group="No. 36" pbc="T T T"
Ni 1.844 0.859 10.568
S 1.844 3.071 2.110
S 1.844 7.636 5.941
Pa 1.844 5.989 2.289
Sc 1.844 5.081 6.014
S 1.844 0.086 2.867
S 0.000 7.775 8.618
Sc 0.000 2.780 0.263
S 0.000 4.863 4.182
Pa 1.844 6.098 9.762
Pa 0.000 1.872 8.040
Ni 0.000 7.001 4.817
S 0.000 0.224 0.190
S 1.844 2.998 9.933
S 0.000 4.790 7.861
S 0.000 5.381 0.253
Pa 0.000 1.763 4.011
S 1.844 2.480 6.004

***

14
Lattice="-0.732 2.448 5.770 1.167 -5.310 2.401 7.409 0.817 -1.794" Properties=species:S:1:pos:R:3 comment="SmPaNiS4, optimized geometry, DFT GGA-PBE" space_group="No. 11" pbc="T T T"
S 1.470 -2.828 4.065
Sm 7.300 -1.374 4.449
Pa 4.246 -0.274 1.009
Pa 3.598 -1.771 5.368
Ni 3.144 -3.131 2.582
Sm 0.544 -0.672 1.929
S 6.103 -2.065 -0.007
S 6.373 0.783 2.312
S 2.759 0.374 3.165
Ni 4.700 1.086 3.795
S 1.184 2.553 5.239
S 5.085 -2.420 3.212
S 6.660 -4.598 1.138
S 1.740 0.019 6.385

***

18
Lattice="3.803 0.000 0.000 -1.901 8.201 0.000 0.000 0.000 11.944" Properties=species:S:1:pos:R:3 comment="Sm2PaNiS5, optimized geometry, DFT GGA-PBE" space_group="No. 36" pbc="T T T"
Sm 0.000 1.810 4.176
S 1.901 3.050 10.274
Ni 1.901 0.931 10.982
S 0.000 5.626 0.252
S 1.901 3.217 2.275
S 1.901 2.574 6.225
Pa 1.901 5.304 6.266
Sm 1.901 6.314 2.338
S 0.000 5.150 4.302
Sm 1.901 6.391 10.148
S 1.901 7.919 6.110
S 0.000 0.282 0.138
S 0.000 8.125 8.974
Sm 0.000 1.886 8.310
Ni 0.000 7.270 5.010
S 1.901 0.076 3.002
Pa 0.000 2.897 0.294
S 0.000 4.984 8.247

***

18
Lattice="-0.186 -3.454 -1.858 4.358 -2.037 7.498 -11.588 -2.618 6.024" Properties=species:S:1:pos:R:3 comment="PaNiSn2S5, optimized geometry, DFT GGA-PBE" space_group="No. 36" pbc="T T T"
S -11.154 -2.943 6.583
Pa 1.391 -1.516 2.678
Sn -3.472 -1.453 3.047
S -8.643 -5.607 7.135
Sn -6.589 -2.870 5.991
Pa -3.533 -5.402 6.244
S -8.945 -3.808 3.823
Ni -1.233 -4.276 8.069
S 1.060 -4.407 8.084
S -0.293 -3.637 2.640
S 2.525 -2.722 4.807
Ni -10.067 -4.711 5.613
S -2.006 -3.233 6.209
Sn 0.886 -4.853 4.782
S -5.094 -4.014 7.969
S -5.038 -4.279 4.308
Sn -6.299 -7.188 9.841
S -1.949 -6.452 8.037

***

20
Lattice="-7.131 3.178 2.984 0.976 -7.801 2.838 6.424 4.710 2.532" Properties=species:S:1:pos:R:3 comment="SrPa4Ni3S12, optimized geometry, DFT GGA-PBE" space_group="No. 204" pbc="T T T"
S 2.344 0.319 5.627
S 1.391 -1.714 2.630
Ni 3.700 -1.545 2.685
S -4.303 -1.906 4.833
Pa 0.488 -3.900 1.419
S -1.122 1.801 5.723
S -0.415 -4.798 3.751
Ni -3.077 -2.311 2.911
Pa 3.212 2.355 1.266
S -2.075 -0.232 2.726
S 4.572 1.993 3.520
S 0.940 2.029 2.605
Pa -3.566 1.589 1.492
S 0.684 4.885 4.602
Sr 0.000 0.000 0.000
S -3.801 2.920 3.780
Pa 0.134 0.044 4.177
S -0.671 -1.942 5.748
Ni -0.354 3.944 2.758
S 4.070 -2.833 4.574

***

11
Lattice="7.070 0.000 0.000 -3.535 5.986 -0.136 0.000 -3.594 6.368" Properties=species:S:1:pos:R:3 comment="Sr2PaNi2S6, optimized geometry, DFT GGA-PBE" space_group="No. 12" pbc="T T T"
Ni 3.535 2.537 5.026
S 1.766 4.547 1.091
Sr 3.535 2.063 1.161
Pa 3.535 -1.797 3.184
S 0.000 1.669 2.400
S -1.766 4.547 1.091
Sr 0.000 0.329 5.071
S 5.301 -2.155 5.141
Ni 0.000 -0.145 1.206
S 3.535 0.723 3.833
S 1.769 -2.155 5.141

***

12
Lattice="-1.430 -0.249 3.560 3.801 -5.587 -0.939 8.173 4.950 3.629" Properties=species:S:1:pos:R:3 comment="SrPaNiS3, optimized geometry, DFT GGA-PBE" space_group="No. 63" pbc="T T T"
S 0.759 -1.314 2.289
Pa 0.000 0.000 0.000
S 9.784 0.428 3.961
Ni 1.493 0.808 2.732
Sr 3.606 -1.656 1.333
Sr 6.937 0.770 4.917
Pa 4.086 2.475 1.815
S 6.951 -1.288 2.703
Ni 9.050 -1.694 3.518
S 6.563 2.910 2.840
S 3.981 -3.797 3.410
S 3.592 0.402 3.547

***

8
Lattice="-1.676 4.645 -3.939 0.673 -0.350 -5.765 -5.063 0.045 -2.858" Properties=species:S:1:pos:R:3 comment="SrPaNi2S4, optimized geometry, DFT GGA-PBE" space_group="No. 23" pbc="T T T"
Sr 0.000 0.000 0.000
S -1.344 4.461 -6.822
S -1.860 -0.318 -7.190
S -3.371 2.343 -3.408
S -5.557 2.194 -7.703
Ni -4.434 3.465 -9.222
Pa -3.033 2.170 -6.281
Ni -1.632 0.875 -3.339

***

Across the entries above, DFT total energy takes the values -7.3052; -6.6977; -6.6999; -5.6902; -6.5081; -5.7001; -6.4408; -5.9730 eV per atom, respectively.
Across the entries above, total magnetization takes the values 0.127; 0.000; 0.055; 0.109; 0.090; 0.277; 0.167; 0.047 μB per atom, respectively.